{"formula": "TeMoRu2", "functional": "GGA-PBE", "state": "relaxed", "sg": "P4/mmm (123)", "dft_energy_ev_per_atom": -7.693, "raw_formation_energy_ev_per_fu": 1.75, "m_tot_mub_per_fu": 1.70, "cell": [[4.1505, 0.0000, 0.0000], [0.0000, 4.1505, 0.0000], [0.0000, 0.0000, 3.7707]], "species": ["Te", "Mo", "Ru", "Ru"], "fractional_positions": [[0.0000, 0.0000, 0.0000], [0.5000, 0.5000, 0.0000], [0.0000, 0.5000, 0.5000], [0.5000, 0.0000, 0.5000]]}

---

{"formula": "TeMoRu2", "functional": "GGA-PBE", "state": "relaxed", "sg": "P4mm (99)", "dft_energy_ev_per_atom": -7.758, "raw_formation_energy_ev_per_fu": 1.49, "m_tot_mub_per_fu": 0.00, "cell": [[3.0765, 0.0000, 0.0000], [0.0000, 3.0765, 0.0000], [0.0000, 0.0000, 6.9149]], "species": ["Te", "Mo", "Ru", "Ru"], "fractional_positions": [[0.0000, 0.0000, 0.0000], [0.5000, 0.5000, 0.2803], [0.0000, 0.0000, 0.5023], [0.5000, 0.5000, 0.7730]]}

---

{"formula": "TeMoRu2", "functional": "GGA-PBE", "state": "relaxed", "sg": "Imm2 (44)", "dft_energy_ev_per_atom": -7.791, "raw_formation_energy_ev_per_fu": 1.36, "m_tot_mub_per_fu": 0.00, "cell": [[-1.5590, 2.2600, 4.6012], [1.5590, -2.2600, 4.6012], [1.5590, 2.2600, -4.6012]], "species": ["Te", "Mo", "Ru", "Ru"], "fractional_positions": [[0.0000, 0.0000, 0.0000], [0.2377, 0.7377, 0.5000], [0.4985, 0.4985, 0.0000], [0.7791, 0.2791, 0.5000]]}

---

{"formula": "TeMoRu2", "functional": "GGA-PBE", "state": "relaxed", "sg": "I-42d (122)", "dft_energy_ev_per_atom": -7.400, "raw_formation_energy_ev_per_fu": 2.93, "m_tot_mub_per_fu": 0.00, "cell": [[-2.8148, 2.8148, 5.9151], [2.8148, -2.8148, 5.9151], [2.8148, 2.8148, -5.9151]], "species": ["Te", "Te", "Mo", "Mo", "Ru", "Ru", "Ru", "Ru"], "fractional_positions": [[0.0000, 0.0000, 0.0000], [0.7500, 0.2500, 0.5000], [0.2500, 0.7500, 0.5000], [0.5000, 0.5000, 0.0000], [0.1514, 0.6250, 0.0264], [0.3750, 0.4014, 0.5264], [0.5986, 0.1250, 0.9736], [0.8750, 0.8486, 0.4736]]}

---

{"formula": "Te6MoRu", "functional": "GGA-PBE", "state": "relaxed", "sg": "P-1 (2)", "dft_energy_ev_per_atom": -4.911, "raw_formation_energy_ev_per_fu": -0.33, "m_tot_mub_per_fu": 0.00, "cell": [[6.3624, 0.0000, 0.0000], [2.9904, 5.9464, 0.0000], [3.1733, 1.3973, 5.7269]], "species": ["Te", "Te", "Te", "Te", "Te", "Te", "Mo", "Ru"], "fractional_positions": [[0.0466, 0.2095, 0.2887], [0.2877, 0.6892, 0.0900], [0.4174, 0.2063, 0.5888], [0.5826, 0.7937, 0.4112], [0.7123, 0.3108, 0.9100], [0.9534, 0.7905, 0.7113], [0.5000, 0.0000, 0.0000], [0.0000, 0.5000, 0.5000]]}

---

{"formula": "TeMoRu2", "functional": "GGA-PBE", "state": "relaxed", "sg": "P4/mmm (123)", "dft_energy_ev_per_atom": -7.632, "raw_formation_energy_ev_per_fu": 1.99, "m_tot_mub_per_fu": 1.39, "cell": [[4.6681, 0.0000, 0.0000], [0.0000, 4.6681, 0.0000], [0.0000, 0.0000, 3.0281]], "species": ["Te", "Mo", "Ru", "Ru"], "fractional_positions": [[0.0000, 0.0000, 0.0000], [0.5000, 0.5000, 0.0000], [0.0000, 0.5000, 0.5000], [0.5000, 0.0000, 0.5000]]}